Here is Dy4P3Rh12Pb after structural relaxation from Alexandria via LeMat-Bulk. Energies are from PBE-GGA.

Calculated values
Total moment (μB/cell): 0.0
Calculated formation energy (kJ/mol of formula units): -825
Calculated volume (Å³ per atom): 18.98

Lattice parameters (Å, degrees): 7.9006 7.9006 7.9006 109.47 109.47 109.47
With the nearest neighbours (Å) after each atom.
Fractional coordinates of all 20 atoms:
Dy 0.0000 0.0000 0.5000  12 Rh 3.23
Dy 0.0000 0.5000 0.0000  12 Rh 3.23
Dy 0.5000 0.0000 0.0000  12 Rh 3.23
Dy 0.5000 0.5000 0.5000  12 Rh 3.23
P 0.0000 0.5000 0.5000  6 Rh 2.09-2.28
P 0.5000 0.0000 0.5000  6 Rh 2.09-2.28
P 0.5000 0.5000 0.0000  6 Rh 2.09-2.28
Rh 0.0000 0.2712 0.2712  1 P 2.09
Rh 0.0000 0.7288 0.7288  1 P 2.09
Rh 0.2500 0.5000 0.7500  2 P 2.28
Rh 0.2500 0.7500 0.5000  2 P 2.28
Rh 0.2712 0.0000 0.2712  1 P 2.09
Rh 0.2712 0.2712 0.0000  1 P 2.09
Rh 0.5000 0.2500 0.7500  2 P 2.28
Rh 0.5000 0.7500 0.2500  2 P 2.28
Rh 0.7288 0.0000 0.7288  1 P 2.09
Rh 0.7288 0.7288 0.0000  1 P 2.09
Rh 0.7500 0.2500 0.5000  2 P 2.28
Rh 0.7500 0.5000 0.2500  2 P 2.28
Pb 0.0000 0.0000 0.0000  6 Rh 2.47

Here is Na3MgZn after structural relaxation from Alexandria via LeMat-Bulk. Energies are from PBE-GGA.

Calculated values
Polymorph energy (0 for the lowest one) (meV per atom): 0.0
Total moment (μB/cell): 0.0
Calculated formation energy (kJ/mol of formula units): 144
Calculated volume (Å³ per atom): 34.92

Lattice parameters (Å, degrees): 5.5892 5.5892 5.5892 90.00 90.00 90.00
With the nearest neighbours (Å) after each atom.
Fractional coordinates of all 5 atoms:
Na 0.0000 0.0000 0.5000  2 Zn 2.79
Na 0.0000 0.5000 0.0000  2 Zn 2.79
Na 0.5000 0.0000 0.0000  2 Zn 2.79
Mg 0.5000 0.5000 0.5000  12 Na 3.95
Zn 0.0000 0.0000 0.0000  6 Na 2.79

Here is LiCa3Ni8 after structural relaxation from Alexandria via LeMat-Bulk. Energies are from PBE-GGA.

Calculated values
Total moment (μB/cell): 0.0
Calculated formation energy (kJ/mol of formula units): -191
Calculated volume (Å³ per atom): 14.74

Lattice parameters (Å, degrees): 8.6480 8.6480 8.6480 33.64 33.64 33.64
With the nearest neighbours (Å) after each atom.
Fractional coordinates of all 12 atoms:
Li 0.0000 0.0000 0.0000  12 Ni 2.85-2.95, 4 Ca 2.97-3.02
Ca 0.1215 0.1215 0.1215  12 Ni 2.88-3.09, 1 Li 2.97, 3 Ca 3.12
Ca 0.5033 0.5033 0.5033  12 Ni 2.94-2.97, 4 Ca 3.12-3.13
Ca 0.6314 0.6314 0.6314  12 Ni 2.82-2.97, 3 Li 3.02, 1 Ca 3.13
Ni 0.0654 0.0654 0.5679  6 Ni 2.48-2.52
Ni 0.0647 0.5631 0.5631  6 Ni 2.47-2.52
Ni 0.0654 0.5679 0.0654  6 Ni 2.48-2.52
Ni 0.3151 0.3151 0.3151  6 Ni 2.47-2.48
Ni 0.5631 0.0647 0.5631  6 Ni 2.47-2.52
Ni 0.5631 0.5631 0.0647  6 Ni 2.47-2.52
Ni 0.5679 0.0654 0.0654  6 Ni 2.48-2.52
Ni 0.8147 0.8147 0.8147  6 Ni 2.52

Here is NaTcC2 after structural relaxation from Alexandria via LeMat-Bulk. Energies are from PBE-GGA.

Calculated values
Polymorph energy (0 for the lowest one) (meV per atom): 998.1
Total moment (μB/cell): 0.0
Calculated formation energy (kJ/mol of formula units): 670
Calculated volume (Å³ per atom): 10.07

Lattice parameters (Å, degrees): 3.8478 3.8478 3.8478 60.00 60.00 60.00
With the nearest neighbours (Å) after each atom.
Fractional coordinates of all 4 atoms:
Na 0.0000 0.0000 0.0000  8 C 2.36
Tc 0.5000 0.5000 0.5000  8 C 2.36
C 0.2500 0.2500 0.2500  4 Tc 2.36, 4 Na 2.36
C 0.7500 0.7500 0.7500  4 Tc 2.36, 4 Na 2.36

Here is AcMg2Ag after structural relaxation from Alexandria via LeMat-Bulk. Energies are from PBE-GGA.

Calculated values
Polymorph energy (0 for the lowest one) (meV per atom): 200.1
Total moment (μB/cell): 0.0
Calculated formation energy (kJ/mol of formula units): -11
Calculated volume (Å³ per atom): 28.50

Lattice parameters (Å, degrees): 4.6074 4.6074 5.3697 90.00 90.00 90.00
With the nearest neighbours (Å) after each atom.
Fractional coordinates of all 4 atoms:
Ac 0.0000 0.0000 0.0000  4 Ag 3.26, 8 Mg 3.54
Mg 0.0000 0.5000 0.5000  4 Mg 3.26, 4 Ac 3.54, 4 Ag 3.54
Mg 0.5000 0.0000 0.5000  4 Mg 3.26, 4 Ac 3.54, 4 Ag 3.54
Ag 0.5000 0.5000 0.0000  4 Ac 3.26, 8 Mg 3.54

Here is SrCu2Ni after structural relaxation from Alexandria via LeMat-Bulk. Energies are from PBE-GGA.

Calculated values
Total moment (μB/cell): 0.2
Calculated formation energy (kJ/mol of formula units): 92
Calculated volume (Å³ per atom): 17.50

Lattice parameters (Å, degrees): 3.2579 3.2579 6.5968 90.00 90.00 90.00
With the nearest neighbours (Å) after each atom.
Fractional coordinates of all 4 atoms:
Sr 0.0000 0.0000 0.0000  8 Cu 3.13, 4 Sr 3.26, 2 Ni 3.30
Cu 0.5000 0.5000 0.3221  1 Cu 2.35, 4 Ni 2.59
Cu 0.5000 0.5000 0.6779  1 Cu 2.35, 4 Ni 2.59
Ni 0.0000 0.0000 0.5000  8 Cu 2.59

Here is Li3La3In8 after structural relaxation from Alexandria via LeMat-Bulk. Energies are from PBE-GGA.

Calculated values
Total moment (μB/cell): 0.0
Calculated formation energy (kJ/mol of formula units): -578
Calculated volume (Å³ per atom): 25.52

Lattice parameters (Å, degrees): 9.1082 9.1082 9.1082 149.19 109.76 78.64
With the nearest neighbours (Å) after each atom.
Fractional coordinates of all 14 atoms:
Li 0.0000 0.0000 0.0000  4 In 2.86, 4 Li 3.07
Li 0.1808 0.5000 0.6808  6 In 2.83-3.08, 2 Li 3.07
Li 0.8192 0.5000 0.3192  6 In 2.83-3.08, 2 Li 3.07
La 0.2078 0.7078 0.5000  8 In 3.40-3.47, 4 Li 3.49-3.80
La 0.5000 0.0000 0.5000  12 In 3.52-3.62
La 0.7922 0.2922 0.5000  8 In 3.40-3.47, 4 Li 3.49-3.80
In 0.0709 0.8659 0.2051  3 Li 2.86-3.08, 3 In 2.93-3.13
In 0.2122 0.3509 0.8613  1 Li 2.83, 4 In 2.91-3.13
In 0.3392 0.1341 0.2051  3 Li 2.86-3.08, 3 In 2.93-3.13
In 0.4896 0.3509 0.1387  1 Li 2.83, 4 In 2.91-3.13
In 0.5104 0.6491 0.8613  1 Li 2.83, 4 In 2.91-3.13
In 0.6608 0.8659 0.7949  3 Li 2.86-3.08, 3 In 2.93-3.13
In 0.7878 0.6491 0.1387  1 Li 2.83, 4 In 2.91-3.13
In 0.9291 0.1341 0.7949  3 Li 2.86-3.08, 3 In 2.93-3.13

Here is FeNi8Pd6 after structural relaxation from Alexandria via LeMat-Bulk. Energies are from PBE-GGA.

Calculated values
Total moment (μB/cell): 11.4
Calculated formation energy (kJ/mol of formula units): 278
Calculated volume (Å³ per atom): 14.09

Lattice parameters (Å, degrees): 6.8376 6.8376 5.2196 90.00 90.00 120.00
With the nearest neighbours (Å) after each atom.
Fractional coordinates of all 15 atoms:
Fe 0.0000 0.0000 0.0000  6 Ni 2.43
Ni 0.0317 0.6748 0.1281  5 Ni 2.41-2.69, 1 Fe 2.43, 5 Pd 2.56-2.66
Ni 0.3252 0.3568 0.1281  5 Ni 2.41-2.69, 1 Fe 2.43, 5 Pd 2.56-2.66
Ni 0.3333 0.6667 0.8979  6 Ni 2.41-2.42, 3 Pd 2.57
Ni 0.3568 0.0317 0.8719  5 Ni 2.41-2.69, 1 Fe 2.43, 5 Pd 2.56-2.66
Ni 0.6432 0.9683 0.1281  5 Ni 2.41-2.69, 1 Fe 2.43, 5 Pd 2.56-2.66
Ni 0.6667 0.3333 0.1021  6 Ni 2.41-2.42, 3 Pd 2.57
Ni 0.6748 0.6432 0.8719  5 Ni 2.41-2.69, 1 Fe 2.43, 5 Pd 2.56-2.66
Ni 0.9683 0.3252 0.8719  5 Ni 2.41-2.69, 1 Fe 2.43, 5 Pd 2.56-2.66
Pd 0.0231 0.6842 0.6373  6 Ni 2.56-2.66, 3 Pd 2.66-2.78
Pd 0.3158 0.3389 0.6373  6 Ni 2.56-2.66, 3 Pd 2.66-2.78
Pd 0.3389 0.0231 0.3627  6 Ni 2.56-2.66, 3 Pd 2.66-2.78
Pd 0.6611 0.9769 0.6373  6 Ni 2.56-2.66, 3 Pd 2.66-2.78
Pd 0.6842 0.6611 0.3627  6 Ni 2.56-2.66, 3 Pd 2.66-2.78
Pd 0.9769 0.3158 0.3627  6 Ni 2.56-2.66, 3 Pd 2.66-2.78